Here is a crystal of CuIr3O relaxed with PBEsol from Alexandria. Energies are from meta-GGA SCAN.

Lattice parameters (Å, degrees): 4.440 4.440 4.440 90.00 90.00 90.00
Atoms (fractional coordinates):
Cu (0.000, 0.000, 0.000)
Ir (0.000, 0.000, 0.500)
Ir (0.000, 0.500, 0.000)
Ir (0.500, 0.000, 0.000)
O (0.500, 0.500, 0.500)

Results
The calculated density comes out at 12.5 g/cm3. For the uncorrected formation energy, the calculation gives 2.48 eV per atom. The calculation puts the uncorrected energy at -222.31 eV for the cell shown. The density of states at the Fermi level comes out at 5.5 states/eV/cell.